1.
Density functional theory data (PBEsol) for a geometry-optimized AlFeBr structure.

a = 4.264 Å, b = 4.264 Å, c = 3.040 Å
α = 90.00°, β = 90.00°, γ = 120.00°
Element x y z (fractional)
Al (0.000, 0.000, 0.000)
Fe (0.333, 0.667, 0.500)
Br (0.667, 0.333, 0.500)

**Space-group type**: No. 187
**E_form (uncorrected)**: 0.45 eV per atom


2.
Density functional theory data (PBEsol) for a geometry-optimized AlFeBr structure.

a = 6.197 Å, b = 6.197 Å, c = 6.197 Å
α = 90.00°, β = 90.00°, γ = 90.00°
Element x y z (fractional)
Al (0.000, 0.000, 0.000)
Al (0.000, 0.500, 0.500)
Al (0.500, 0.000, 0.500)
Al (0.500, 0.500, 0.000)
Fe (0.250, 0.250, 0.750)
Fe (0.250, 0.750, 0.250)
Fe (0.750, 0.250, 0.250)
Fe (0.750, 0.750, 0.750)
Br (0.250, 0.250, 0.250)
Br (0.250, 0.750, 0.750)
Br (0.750, 0.250, 0.750)
Br (0.750, 0.750, 0.250)

**Space-group type**: No. 216
**E_form (uncorrected)**: 0.90 eV per atom


3.
Density functional theory data (PBEsol) for a geometry-optimized AlFe4Br structure.

a = 4.843 Å, b = 4.843 Å, c = 4.843 Å
α = 60.00°, β = 60.00°, γ = 60.00°
Element x y z (fractional)
Al (0.000, 0.000, 0.000)
Fe (0.121, 0.626, 0.626)
Fe (0.626, 0.121, 0.626)
Fe (0.626, 0.626, 0.121)
Fe (0.626, 0.626, 0.626)
Br (0.250, 0.250, 0.250)

**Space-group type**: No. 216
**E_form (uncorrected)**: 0.48 eV per atom


4.
Density functional theory data (PBEsol) for a geometry-optimized AlFeSe2Br structure.

a = 4.649 Å, b = 4.649 Å, c = 5.162 Å
α = 90.00°, β = 90.00°, γ = 90.00°
Element x y z (fractional)
Al (0.000, 0.000, 0.000)
Fe (0.500, 0.500, 0.500)
Se (0.000, 0.500, 0.500)
Se (0.500, 0.000, 0.500)
Br (0.500, 0.500, 0.000)

**Space-group type**: No. 123
**E_form (uncorrected)**: 0.16 eV per atom


5.
Density functional theory data (PBEsol) for a geometry-optimized Al2GaBr structure.

a = 6.794 Å, b = 6.794 Å, c = 6.794 Å
α = 90.00°, β = 90.00°, γ = 90.00°
Element x y z (fractional)
Al (0.250, 0.250, 0.250)
Al (0.250, 0.250, 0.750)
Al (0.250, 0.750, 0.250)
Al (0.250, 0.750, 0.750)
Al (0.750, 0.250, 0.250)
Al (0.750, 0.250, 0.750)
Al (0.750, 0.750, 0.250)
Al (0.750, 0.750, 0.750)
Ga (0.000, 0.000, 0.000)
Ga (0.000, 0.500, 0.500)
Ga (0.500, 0.000, 0.500)
Ga (0.500, 0.500, 0.000)
Br (0.000, 0.000, 0.500)
Br (0.000, 0.500, 0.000)
Br (0.500, 0.000, 0.000)
Br (0.500, 0.500, 0.500)

**Space-group type**: No. 225
**E_form (uncorrected)**: 0.23 eV per atom


6.
Density functional theory data (PBEsol) for a geometry-optimized AlGa2Br structure.

a = 6.926 Å, b = 6.926 Å, c = 6.926 Å
α = 90.00°, β = 90.00°, γ = 90.00°
Element x y z (fractional)
Al (0.000, 0.000, 0.000)
Al (0.000, 0.500, 0.500)
Al (0.500, 0.000, 0.500)
Al (0.500, 0.500, 0.000)
Ga (0.250, 0.250, 0.250)
Ga (0.250, 0.250, 0.750)
Ga (0.250, 0.750, 0.250)
Ga (0.250, 0.750, 0.750)
Ga (0.750, 0.250, 0.250)
Ga (0.750, 0.250, 0.750)
Ga (0.750, 0.750, 0.250)
Ga (0.750, 0.750, 0.750)
Br (0.000, 0.000, 0.500)
Br (0.000, 0.500, 0.000)
Br (0.500, 0.000, 0.000)
Br (0.500, 0.500, 0.500)

**Space-group type**: No. 225
**E_form (uncorrected)**: 0.19 eV per atom


7.
Density functional theory data (PBEsol) for a geometry-optimized MgAl2GaBr structure.

a = 5.247 Å, b = 5.247 Å, c = 5.156 Å
α = 90.00°, β = 90.00°, γ = 90.00°
Element x y z (fractional)
Mg (0.000, 0.000, 0.000)
Al (0.000, 0.500, 0.000)
Al (0.500, 0.000, 0.000)
Ga (0.500, 0.500, 0.500)
Br (0.000, 0.000, 0.500)

**Space-group type**: No. 123
**E_form (uncorrected)**: 0.57 eV per atom


8.
Density functional theory data (PBEsol) for a geometry-optimized Na4Al2GaSi3BrO12 structure.

a = 8.976 Å, b = 8.976 Å, c = 8.974 Å
α = 90.01°, β = 90.01°, γ = 89.98°
Element x y z (fractional)
Na (0.065, 0.935, 0.500)
Na (0.070, 0.577, 0.129)
Na (0.436, 0.570, 0.503)
Na (0.440, 0.941, 0.140)
Na (0.570, 0.436, 0.003)
Na (0.577, 0.070, 0.629)
Na (0.935, 0.065, 0.000)
Na (0.941, 0.440, 0.640)
Al (0.256, 0.504, 0.815)
Al (0.504, 0.256, 0.315)
Al (0.751, 0.756, 0.568)
Al (0.756, 0.751, 0.068)
Ga (0.004, 0.256, 0.321)
Ga (0.256, 0.004, 0.821)
Si (0.003, 0.753, 0.816)
Si (0.254, 0.258, 0.068)
Si (0.258, 0.254, 0.568)
Si (0.506, 0.753, 0.820)
Si (0.753, 0.003, 0.316)
Si (0.753, 0.506, 0.320)
Br (0.254, 0.755, 0.318)
Br (0.755, 0.254, 0.818)
O (0.099, 0.894, 0.751)
O (0.104, 0.613, 0.873)
O (0.118, 0.184, 0.474)
O (0.118, 0.328, 0.169)
O (0.184, 0.118, 0.974)
O (0.196, 0.394, 0.666)
O (0.316, 0.394, 0.964)
O (0.328, 0.118, 0.669)
O (0.394, 0.196, 0.166)
O (0.394, 0.316, 0.464)
O (0.405, 0.615, 0.757)
O (0.408, 0.890, 0.891)
O (0.603, 0.817, 0.680)
O (0.609, 0.688, 0.956)
O (0.613, 0.104, 0.373)
O (0.615, 0.405, 0.257)
O (0.688, 0.609, 0.456)
O (0.694, 0.900, 0.177)
O (0.811, 0.906, 0.459)
O (0.817, 0.603, 0.180)
O (0.890, 0.408, 0.391)
O (0.894, 0.099, 0.251)
O (0.900, 0.694, 0.677)
O (0.906, 0.811, 0.959)

**Space-group type**: No. 9
**E_form (uncorrected)**: -2.54 eV per atom


9.
Density functional theory data (PBEsol) for a geometry-optimized AlGaSeBr2 structure.

a = 5.069 Å, b = 5.069 Å, c = 4.872 Å
α = 90.00°, β = 90.00°, γ = 90.00°
Element x y z (fractional)
Al (0.000, 0.000, 0.000)
Ga (0.500, 0.500, 0.500)
Se (0.000, 0.000, 0.500)
Br (0.000, 0.500, 0.000)
Br (0.500, 0.000, 0.000)

**Space-group type**: No. 123
**E_form (uncorrected)**: -0.45 eV per atom


10.
Density functional theory data (PBEsol) for a geometry-optimized AlGeBr2 structure.

a = 3.464 Å, b = 3.464 Å, c = 27.998 Å
α = 90.00°, β = 90.00°, γ = 120.00°
Element x y z (fractional)
Al (0.000, 0.000, 0.000)
Al (0.333, 0.667, 0.667)
Al (0.667, 0.333, 0.333)
Ge (0.000, 0.000, 0.500)
Ge (0.333, 0.667, 0.167)
Ge (0.667, 0.333, 0.833)
Br (0.000, 0.000, 0.404)
Br (0.000, 0.000, 0.596)
Br (0.333, 0.667, 0.071)
Br (0.333, 0.667, 0.263)
Br (0.667, 0.333, 0.737)
Br (0.667, 0.333, 0.929)

**Space-group type**: No. 166
**E_form (uncorrected)**: -0.04 eV per atom


11.
Density functional theory data (PBEsol) for a geometry-optimized Li4Al3Ge3BrO12 structure.

a = 8.648 Å, b = 8.648 Å, c = 8.648 Å
α = 90.00°, β = 90.00°, γ = 90.00°
Element x y z (fractional)
Li (0.178, 0.178, 0.178)
Li (0.178, 0.822, 0.822)
Li (0.322, 0.322, 0.678)
Li (0.322, 0.678, 0.322)
Li (0.678, 0.322, 0.322)
Li (0.678, 0.678, 0.678)
Li (0.822, 0.178, 0.822)
Li (0.822, 0.822, 0.178)
Al (0.000, 0.250, 0.500)
Al (0.000, 0.750, 0.500)
Al (0.250, 0.500, 0.000)
Al (0.500, 0.000, 0.250)
Al (0.500, 0.000, 0.750)
Al (0.750, 0.500, 0.000)
Ge (0.000, 0.500, 0.250)
Ge (0.000, 0.500, 0.750)
Ge (0.250, 0.000, 0.500)
Ge (0.500, 0.250, 0.000)
Ge (0.500, 0.750, 0.000)
Ge (0.750, 0.000, 0.500)
Br (0.000, 0.000, 0.000)
Br (0.500, 0.500, 0.500)
O (0.099, 0.362, 0.638)
O (0.099, 0.638, 0.362)
O (0.138, 0.138, 0.401)
O (0.138, 0.401, 0.138)
O (0.138, 0.599, 0.862)
O (0.138, 0.862, 0.599)
O (0.362, 0.099, 0.638)
O (0.362, 0.362, 0.901)
O (0.362, 0.638, 0.099)
O (0.362, 0.901, 0.362)
O (0.401, 0.138, 0.138)
O (0.401, 0.862, 0.862)
O (0.599, 0.138, 0.862)
O (0.599, 0.862, 0.138)
O (0.638, 0.099, 0.362)
O (0.638, 0.362, 0.099)
O (0.638, 0.638, 0.901)
O (0.638, 0.901, 0.638)
O (0.862, 0.138, 0.599)
O (0.862, 0.401, 0.862)
O (0.862, 0.599, 0.138)
O (0.862, 0.862, 0.401)
O (0.901, 0.362, 0.362)
O (0.901, 0.638, 0.638)

**Space-group type**: No. 218
**E_form (uncorrected)**: -2.26 eV per atom


12.
Density functional theory data (PBEsol) for a geometry-optimized Na4Al3Ge3BrO12 structure.

a = 9.116 Å, b = 9.116 Å, c = 9.116 Å
α = 90.00°, β = 90.00°, γ = 90.00°
Element x y z (fractional)
Na (0.182, 0.182, 0.182)
Na (0.182, 0.818, 0.818)
Na (0.318, 0.318, 0.682)
Na (0.318, 0.682, 0.318)
Na (0.682, 0.318, 0.318)
Na (0.682, 0.682, 0.682)
Na (0.818, 0.182, 0.818)
Na (0.818, 0.818, 0.182)
Al (0.000, 0.250, 0.500)
Al (0.000, 0.750, 0.500)
Al (0.250, 0.500, 0.000)
Al (0.500, 0.000, 0.250)
Al (0.500, 0.000, 0.750)
Al (0.750, 0.500, 0.000)
Ge (0.000, 0.500, 0.250)
Ge (0.000, 0.500, 0.750)
Ge (0.250, 0.000, 0.500)
Ge (0.500, 0.250, 0.000)
Ge (0.500, 0.750, 0.000)
Ge (0.750, 0.000, 0.500)
Br (0.000, 0.000, 0.000)
Br (0.500, 0.500, 0.500)
O (0.071, 0.355, 0.645)
O (0.071, 0.645, 0.355)
O (0.145, 0.145, 0.429)
O (0.145, 0.429, 0.145)
O (0.145, 0.571, 0.855)
O (0.145, 0.855, 0.571)
O (0.355, 0.071, 0.645)
O (0.355, 0.355, 0.929)
O (0.355, 0.645, 0.071)
O (0.355, 0.929, 0.355)
O (0.429, 0.145, 0.145)
O (0.429, 0.855, 0.855)
O (0.571, 0.145, 0.855)
O (0.571, 0.855, 0.145)
O (0.645, 0.071, 0.355)
O (0.645, 0.355, 0.071)
O (0.645, 0.645, 0.929)
O (0.645, 0.929, 0.645)
O (0.855, 0.145, 0.571)
O (0.855, 0.429, 0.855)
O (0.855, 0.571, 0.145)
O (0.855, 0.855, 0.429)
O (0.929, 0.355, 0.355)
O (0.929, 0.645, 0.645)

**Space-group type**: No. 218
**E_form (uncorrected)**: -2.20 eV per atom


13.
Density functional theory data (PBEsol) for a geometry-optimized AlH15Br3N5 structure.

a = 13.759 Å, b = 10.916 Å, c = 6.659 Å
α = 90.00°, β = 90.00°, γ = 90.00°
Element x y z (fractional)
Al (0.097, 0.250, 0.201)
Al (0.403, 0.750, 0.701)
Al (0.597, 0.250, 0.299)
Al (0.903, 0.750, 0.799)
H (0.011, 0.250, 0.563)
H (0.020, 0.034, 0.208)
H (0.020, 0.466, 0.208)
H (0.053, 0.674, 0.607)
H (0.053, 0.826, 0.607)
H (0.118, 0.026, 0.067)
H (0.118, 0.474, 0.067)
H (0.128, 0.025, 0.315)
H (0.128, 0.475, 0.315)
H (0.186, 0.173, 0.884)
H (0.186, 0.327, 0.884)
H (0.193, 0.173, 0.508)
H (0.193, 0.327, 0.508)
H (0.228, 0.750, 0.870)
H (0.234, 0.750, 0.523)
H (0.266, 0.250, 0.023)
H (0.272, 0.250, 0.370)
H (0.307, 0.673, 0.008)
H (0.307, 0.827, 0.008)
H (0.314, 0.673, 0.384)
H (0.314, 0.827, 0.384)
H (0.372, 0.525, 0.815)
H (0.372, 0.975, 0.815)
H (0.382, 0.526, 0.567)
H (0.382, 0.974, 0.567)
H (0.447, 0.174, 0.107)
H (0.447, 0.326, 0.107)
H (0.480, 0.534, 0.708)
H (0.480, 0.966, 0.708)
H (0.489, 0.750, 0.063)
H (0.511, 0.250, 0.937)
H (0.520, 0.034, 0.292)
H (0.520, 0.466, 0.292)
H (0.553, 0.674, 0.893)
H (0.553, 0.826, 0.893)
H (0.618, 0.026, 0.433)
H (0.618, 0.474, 0.433)
H (0.628, 0.025, 0.185)
H (0.628, 0.475, 0.185)
H (0.686, 0.173, 0.616)
H (0.686, 0.327, 0.616)
H (0.693, 0.173, 0.992)
H (0.693, 0.327, 0.992)
H (0.728, 0.750, 0.630)
H (0.734, 0.750, 0.977)
H (0.766, 0.250, 0.477)
H (0.772, 0.250, 0.130)
H (0.807, 0.673, 0.492)
H (0.807, 0.827, 0.492)
H (0.814, 0.673, 0.116)
H (0.814, 0.827, 0.116)
H (0.872, 0.525, 0.685)
H (0.872, 0.975, 0.685)
H (0.882, 0.526, 0.933)
H (0.882, 0.974, 0.933)
H (0.947, 0.174, 0.393)
H (0.947, 0.326, 0.393)
H (0.980, 0.534, 0.792)
H (0.980, 0.966, 0.792)
H (0.989, 0.750, 0.437)
Br (0.036, 0.750, 0.066)
Br (0.156, 0.509, 0.689)
Br (0.156, 0.991, 0.689)
Br (0.344, 0.009, 0.189)
Br (0.344, 0.491, 0.189)
Br (0.464, 0.250, 0.566)
Br (0.536, 0.750, 0.434)
Br (0.656, 0.509, 0.811)
Br (0.656, 0.991, 0.811)
Br (0.844, 0.009, 0.311)
Br (0.844, 0.491, 0.311)
Br (0.964, 0.250, 0.934)
N (0.008, 0.750, 0.587)
N (0.091, 0.065, 0.197)
N (0.091, 0.435, 0.197)
N (0.194, 0.250, 0.976)
N (0.200, 0.250, 0.416)
N (0.300, 0.750, 0.916)
N (0.306, 0.750, 0.476)
N (0.409, 0.565, 0.697)
N (0.409, 0.935, 0.697)
N (0.492, 0.250, 0.087)
N (0.508, 0.750, 0.913)
N (0.591, 0.065, 0.303)
N (0.591, 0.435, 0.303)
N (0.694, 0.250, 0.524)
N (0.700, 0.250, 0.084)
N (0.800, 0.750, 0.584)
N (0.806, 0.750, 0.024)
N (0.909, 0.565, 0.803)
N (0.909, 0.935, 0.803)
N (0.992, 0.250, 0.413)

**E_tot**: -4.9100 eV per atom
**Space-group type**: No. 62


14.
Density functional theory data (PBEsol) for a geometry-optimized HfAlBr2 structure.

a = 3.396 Å, b = 3.396 Å, c = 29.483 Å
α = 90.00°, β = 90.00°, γ = 120.00°
Element x y z (fractional)
Hf (0.000, 0.000, 0.000)
Hf (0.333, 0.667, 0.667)
Hf (0.667, 0.333, 0.333)
Al (0.000, 0.000, 0.500)
Al (0.333, 0.667, 0.167)
Al (0.667, 0.333, 0.833)
Br (0.000, 0.000, 0.085)
Br (0.000, 0.000, 0.915)
Br (0.333, 0.667, 0.581)
Br (0.333, 0.667, 0.752)
Br (0.667, 0.333, 0.248)
Br (0.667, 0.333, 0.419)

**Space-group type**: No. 166
**E_form (uncorrected)**: -0.14 eV per atom


15.
Density functional theory data (PBEsol) for a geometry-optimized HfAlBr2 structure.

a = 6.793 Å, b = 6.793 Å, c = 6.793 Å
α = 90.00°, β = 90.00°, γ = 90.00°
Element x y z (fractional)
Hf (0.000, 0.000, 0.000)
Hf (0.000, 0.500, 0.500)
Hf (0.500, 0.000, 0.500)
Hf (0.500, 0.500, 0.000)
Al (0.000, 0.000, 0.500)
Al (0.000, 0.500, 0.000)
Al (0.500, 0.000, 0.000)
Al (0.500, 0.500, 0.500)
Br (0.250, 0.250, 0.250)
Br (0.250, 0.250, 0.750)
Br (0.250, 0.750, 0.250)
Br (0.250, 0.750, 0.750)
Br (0.750, 0.250, 0.250)
Br (0.750, 0.250, 0.750)
Br (0.750, 0.750, 0.250)
Br (0.750, 0.750, 0.750)

**Space-group type**: No. 225
**E_form (uncorrected)**: 0.03 eV per atom


16.
Density functional theory data (PBEsol) for a geometry-optimized AlHg2Br structure.

a = 3.710 Å, b = 3.710 Å, c = 24.367 Å
α = 90.00°, β = 90.00°, γ = 120.00°
Element x y z (fractional)
Al (0.000, 0.000, 0.000)
Al (0.333, 0.667, 0.667)
Al (0.667, 0.333, 0.333)
Hg (0.000, 0.000, 0.486)
Hg (0.000, 0.000, 0.736)
Hg (0.333, 0.667, 0.153)
Hg (0.333, 0.667, 0.402)
Hg (0.667, 0.333, 0.069)
Hg (0.667, 0.333, 0.819)
Br (0.000, 0.000, 0.263)
Br (0.333, 0.667, 0.930)
Br (0.667, 0.333, 0.596)

**Space-group type**: No. 160
**E_form (uncorrected)**: -0.13 eV per atom


17.
Density functional theory data (PBEsol) for a geometry-optimized AlHg4Br structure.

a = 6.023 Å, b = 6.023 Å, c = 6.023 Å
α = 60.00°, β = 60.00°, γ = 60.00°
Element x y z (fractional)
Al (0.000, 0.000, 0.000)
Hg (0.125, 0.625, 0.625)
Hg (0.625, 0.125, 0.625)
Hg (0.625, 0.625, 0.125)
Hg (0.625, 0.625, 0.625)
Br (0.250, 0.250, 0.250)

**Space-group type**: No. 216
**E_form (uncorrected)**: 0.11 eV per atom


| no. | spin magnetization (μB/f.u.) |
| --- | --- |
| 1 | 1.83 |
| 2 | 2.09 |
| 3 | 8.98 |
| 4 | 3.47 |
| 5 | 0.00 |
| 6 | 0.00 |
| 7 | 0.00 |
| 8 | 0.22 |
| 9 | 0.00 |
| 10 | 0.00 |
| 11 | 0.20 |
| 12 | 0.29 |
| 13 | 0.00 |
| 14 | 0.00 |
| 15 | 0.00 |
| 16 | 0.00 |
| 17 | 0.00 |